Below is a geometry-optimized Na3Bi5Br12 structure, with properties calculated at the PBE level.

formation energy from raw total energies	-56.8	kJ/mol of atoms
size of the total moment	47.9	μB per cell
theoretical density	4.003	g/cm3

abc: 19.018 19.018 19.018
angles: 90.00 90.00 90.00
Space group Ia-3d (No. 230)
One atom of each set of equivalent atoms:
Na: 0.000 0.250 0.125 [24 per cell]
Bi: 0.000 0.000 0.000 [16 per cell]
Bi: 0.000 0.250 0.375 [24 per cell]
Br: 0.008 0.152 0.510 [96 per cell]

=====

Below is a geometry-optimized Y2ZrSe structure, with properties calculated at the PBE level.

formation energy from raw total energies	-39.3	kJ/mol of atoms
size of the total moment	0.0	μB per cell
theoretical density	5.531	g/cm3

abc: 11.745 3.561 5.539
angles: 90.00 115.58 90.00
Space group C2/m (No. 12)
One atom of each set of equivalent atoms:
Y: 0.208 0.000 0.210 [4 per cell]
Zr: 0.000 0.000 0.500 [2 per cell]
Se: 0.000 0.500 0.000 [2 per cell]

=====

Below is a geometry-optimized RbCd3Pd structure, with properties calculated at the PBE level.

excess energy over the best structure of this formula in the dataset	287.8	meV per atom
size of the total moment	0.0	μB per cell
ΔE_f	0.0944	eV/atom
theoretical density	4.415	g/cm3

abc: 4.137 5.908 16.286
angles: 90.00 90.00 90.00
Space group Amm2 (No. 38)
One atom of each set of equivalent atoms:
Rb: 0.000 0.000 0.000 [2 per cell]
Cd: 0.000 0.237 0.202 [4 per cell]
Cd: 0.500 0.000 0.811 [2 per cell]
Pd: 0.500 0.000 0.642 [2 per cell]

=====

Below is a geometry-optimized Sm2SeN structure, with properties calculated at the PBE level.

formation energy from raw total energies	-158.6	kJ/mol of atoms
excess energy over the best structure of this formula in the dataset	7.4	meV per atom
size of the total moment	0.0	μB per cell
theoretical density	7.892	g/cm3

abc: 3.7645 3.7645 13.4985
angles: 90.00 90.00 120.00
Space group P6_3/mmc (No. 194)
One atom of each set of equivalent atoms:
Sm: 0.3333 0.6667 0.0995 [4 per cell]
Se: 0.3333 0.6667 0.7500 [2 per cell]
N: 0.0000 0.0000 0.0000 [2 per cell]

=====

Below is a geometry-optimized La2Ho2Tm15 structure, with properties calculated at the PBE level.

size of the total moment	0.0	μB per cell
ΔE_f	0.2881	eV/atom
theoretical density	8.424	g/cm3

abc: 11.1171 11.1171 17.3574
angles: 90.00 90.00 120.00
Space group R-3m (No. 166, hexagonal axes)
One atom of each set of equivalent atoms:
La: 0.0000 0.0000 0.1183 [6 per cell]
Ho: 0.0000 0.0000 0.3319 [6 per cell]
Tm: 0.0000 0.3071 0.0000 [18 per cell]
Tm: 0.0000 0.5000 0.5000 [9 per cell]
Tm: 0.0143 0.5071 0.1400 [18 per cell]

=====

Below is a geometry-optimized LiMg8Ga2 structure, with properties calculated at the PBE level.

excess energy over the best structure of this formula in the dataset	38.1	meV per atom
size of the total moment	0.0	μB per cell
ΔE_f	-0.0207	eV/atom
theoretical density	2.341	g/cm3

abc: 7.760 13.142 5.055
angles: 90.00 110.33 90.00
Space group C2/m (No. 12)
One atom of each set of equivalent atoms:
Li: 0.000 0.000 0.000 [2 per cell]
Mg: 0.000 0.220 0.000 [4 per cell]
Mg: 0.111 0.500 0.804 [4 per cell]
Mg: 0.206 0.115 0.619 [8 per cell]
Ga: 0.000 0.306 0.500 [4 per cell]

=====

Which of these has the highest theoretical density? La2Ho2Tm15

=====

theoretical density of number 1 (Na3Bi5Br12)? 4.003 g/cm3